! NdEr2Sc (GGA-PBE, optimized geometry); values from VASP
&SYSTEM
  ibrav = 0, nat = 4, ntyp = 3
/
ATOMIC_SPECIES
Nd 144.24 Nd.upf
Er 167.26 Er.upf
Sc 44.96 Sc.upf
CELL_PARAMETERS angstrom
3.048 -1.761 0.000
3.048 1.761 0.000
-2.032 0.000 11.237
ATOMIC_POSITIONS crystal
Nd 0.000 0.000 0.000
Er 0.421 0.421 0.261
Er 0.580 0.580 0.734
Sc 0.166 0.166 0.496
! **Space group**: Cm, No. 8
! **ΔE to the lowest computed polymorph**: 4 meV per atom
! **ΔE_f**: 0.1 eV per formula unit